Compound: BaB2Os
Source: the Alexandria database
Functional: SCAN
Structure: single point on PBEsol structure

formation energy from the elements	1.85	eV/atom
N(E_F)	1.300	states/eV per atom
spin magnetization	0.00	μB/f.u.
uncorrected energy	-475.6	eV for the cell shown

Structure (CIF):
```
data_BaB2Os
_chemical_formula_sum 'Ba4 B8 Os4'
_symmetry_space_group_name_H-M 'F m -3 m'
_symmetry_Int_Tables_number 225
_symmetry_space_group_name_Hall '-F 4 2 3'
_cell_length_a 6.2662
_cell_length_b 6.2662
_cell_length_c 6.2662
_cell_angle_alpha 90.00
_cell_angle_beta 90.00
_cell_angle_gamma 90.00
loop_
_atom_site_label
_atom_site_type_symbol
_atom_site_fract_x
_atom_site_fract_y
_atom_site_fract_z
Ba1 Ba 0.0000 0.0000 0.0000
B1 B 0.2500 0.2500 0.2500
Os1 Os 0.0000 0.0000 0.5000
```